First-principles (GGA+U) data for an optimized crystal structure of Na3MnO3, as listed in the Alexandria database.

abc: 5.797 5.797 5.797
angles: 114.76 114.76 114.76
Positions (direct):
1 Na 0.000 0.500 0.500
2 Na 0.500 0.000 0.500
3 Na 0.500 0.500 0.000
4 Mn 0.859 0.859 0.859
5 O 0.623 0.933 0.933
6 O 0.933 0.623 0.933
7 O 0.933 0.933 0.623

Properties
The calculation puts the total energy at -4.978 eV/atom. The volume comes out at 111.4 Å³/f.u. The value obtained for the magnetization is 0.285 μB per atom. Its space-group type is R3m, No. 160.